[1]
PuH4Rh GGA-PBE relaxed; raw total energy = -36.1 eV per formula unit; Fermi-level density of states = 7.06 states/eV/cell; symmetry = P4/mmm (123); distance to the lowest polymorph of the same formula = 172.1 meV/atom
1.0
3.211 0.000 -0.001
0.000 3.211 -0.002
0.002 0.003 5.177
H Rh Pu
4 1 1
Direct
0.001 0.497 0.320
0.501 0.997 0.676
0.501 0.997 0.320
0.001 0.497 0.676
0.001 0.997 0.498
0.501 0.497 0.998

***

[2]
BaYIr2 GGA-PBE relaxed; energy of formation from the pure elements = 0.01 eV per atom; raw total energy = -26.1 eV per formula unit; Fermi-level density of states = 1.66 states/eV/cell; symmetry = Cmmm (65); distance to the lowest polymorph of the same formula = 292.8 meV/atom
1.0
7.770 -0.008 -0.019
-3.136 4.189 0.000
1.498 1.125 2.846
Ba Y Ir
1 1 2
Direct
0.500 0.500 0.000
0.000 0.500 0.500
0.500 0.000 0.500
0.000 0.000 0.000

***

[3]
CrB2IrRu GGA-PBE relaxed; energy of formation from the pure elements = 1.46 eV per atom; raw total energy = -33.8 eV per formula unit; Fermi-level density of states = 5.93 states/eV/cell; symmetry = P4/mmm (123)
1.0
-2.428 2.588 -1.561
-1.681 -3.176 -2.651
-2.647 -0.854 2.701
Ru Ir B Cr
1 1 2 1
Direct
0.500 0.500 0.500
0.000 0.500 0.000
0.000 0.000 0.500
0.500 0.000 0.000
0.000 0.000 0.000